Crystalline LaPm2Y7 at its relaxed geometry. Source: Alexandria, functional PBE.

Cell lengths 9.264, 9.264, 5.624 Å; angles 90.00, 90.00, 123.45 degrees
Atoms (fractional coordinates):
La  0.000  0.000  0.000
Pm  0.298  0.702  0.500
Pm  0.702  0.298  0.500
Y  0.062  0.293  0.500
Y  0.221  0.779  0.000
Y  0.293  0.062  0.500
Y  0.500  0.500  0.500
Y  0.707  0.938  0.500
Y  0.779  0.221  0.000
Y  0.938  0.707  0.500

Values from the calculation:
volume = 40.27 A^3/atom
E_form = 65.5 kJ per mole of atoms
size of the total moment = 0.000 μB per formula unit